Density functional theory data (PBE-GGA) for a relaxed structure of HgAu.

```
HgAu
1.0
-2.110 2.110 4.556
2.110 -2.110 4.556
2.110 2.110 -4.556
Hg Au
2 2
Direct
0.375 0.625 0.750
0.625 0.375 0.250
0.125 0.875 0.250
0.875 0.125 0.750
```

Output
The calculation puts the electronic total energy at -1.684 eV/atom.